Entry 1:
PBE Li3DyBi3, optimized geometry; formation enthalpy at 0 K = -391 meV per atom
1.0
9.0208 0.0000 0.0000
4.5104 7.8123 0.0000
4.5104 2.6041 5.6449
Bi Li Dy
6 6 2
direct
0.6712 0.4667 0.7480 Bi
0.5333 0.8859 0.2520 Bi
0.8859 0.3288 0.2520 Bi
0.3288 0.5333 0.2520 Bi
0.1141 0.6712 0.7480 Bi
0.4667 0.1141 0.7480 Bi
0.6600 0.1793 0.2343 Li
0.9264 0.6600 0.2343 Li
0.0736 0.3400 0.7657 Li
0.3400 0.8207 0.7657 Li
0.1793 0.9264 0.2343 Li
0.8207 0.0736 0.7657 Li
0.3077 0.3077 0.0769 Dy
0.6923 0.6923 0.9231 Dy


Entry 2:
PBE Cd2FeSb, optimized geometry; total DFT energy (no corrections) = -3.226 eV per atom
1.0
5.3255 0.0057 0.0000
-2.4073 4.7503 0.0000
0.0000 0.0000 3.3159
Cd Sb Fe
2 1 1
direct
0.0000 0.0000 0.0000 Cd
0.5000 0.5000 0.0000 Cd
0.0000 0.5000 0.5000 Sb
0.5000 0.0000 0.5000 Fe


Entry 3:
PBE PaP2HO8, optimized geometry; total DFT energy (no corrections) = -7.349 eV per atom
1.0
5.0900 0.0000 0.0000
-2.5450 4.4081 0.0000
0.0000 0.0000 5.9972
O P H Pa
8 2 1 1
direct
0.8354 0.6699 0.2954 O
0.1646 0.3301 0.7046 O
0.3301 0.1654 0.2954 O
0.1654 0.8354 0.7046 O
0.3333 0.6667 0.0369 O
0.8346 0.1646 0.2954 O
0.6667 0.3333 0.9631 O
0.6699 0.8346 0.7046 O
0.3333 0.6667 0.7789 P
0.6667 0.3333 0.2211 P
0.0000 0.0000 0.5000 H
0.0000 0.0000 0.0000 Pa


Entry 4:
PBE Tm12CoPb6, optimized geometry; formation enthalpy at 0 K = -213 meV per atom
1.0
-7.8608 -0.8639 3.0763
1.0414 -7.7417 -3.3142
4.4067 -0.9729 7.1859
Tm Co Pb
12 1 6
direct
0.4559 0.7956 0.5832 Tm
0.9494 0.9978 0.6938 Tm
0.3062 0.0506 0.0022 Tm
0.4168 0.5441 0.2044 Tm
0.0022 0.3062 0.0506 Tm
0.6938 0.9494 0.9978 Tm
0.9978 0.6938 0.9494 Tm
0.5832 0.4559 0.7956 Tm
0.2044 0.4168 0.5441 Tm
0.7956 0.5832 0.4559 Tm
0.0506 0.0022 0.3062 Tm
0.5441 0.2044 0.4168 Tm
0.0000 0.0000 0.0000 Co
0.3211 0.1179 0.6560 Pb
0.1179 0.6560 0.3211 Pb
0.8821 0.3440 0.6789 Pb
0.6560 0.3211 0.1179 Pb
0.6789 0.8821 0.3440 Pb
0.3440 0.6789 0.8821 Pb


Entry 5:
PBE Pr2GeSe, optimized geometry; total DFT energy (no corrections) = -5.805 eV per atom
1.0
-0.8656 -4.1977 0.4636
-0.0136 1.7832 -3.9232
7.1963 -1.2894 1.7612
Se Pr Ge
1 2 1
direct
0.5000 0.0000 0.0000 Se
0.7473 0.4945 0.7414 Pr
0.2527 0.5055 0.2586 Pr
0.0000 0.0000 0.5000 Ge


Entry 6:
PBE Ca2AlAs, optimized geometry; formation enthalpy at 0 K = -686 meV per atom
1.0
-2.8903 -2.5551 -1.2018
2.6506 -1.3616 -3.4797
3.5031 -4.6555 1.4728
As Ca Al
1 2 1
direct
0.5000 0.5487 0.7776 As
0.0000 0.9853 0.9042 Ca
0.5000 0.2674 0.3402 Ca
0.0000 0.6985 0.4780 Al


Entry 7:
PBE Y2PtS, optimized geometry; total DFT energy (no corrections) = -7.240 eV per atom
1.0
3.9583 0.0000 0.0000
1.9792 3.4280 0.0000
1.9792 1.1427 7.0432
Y Pt S
2 1 1
direct
0.0784 0.0784 0.7649 Y
0.2556 0.2556 0.2333 Y
0.6671 0.6671 0.9988 Pt
0.4990 0.4990 0.5030 S


Entry 8:
PBE CsSi3H, optimized geometry; total DFT energy (no corrections) = -1.443 eV per atom
1.0
-3.9449 1.9977 3.8121
3.0714 -2.3158 4.3920
3.0149 4.9731 0.5138
Cs Si H
1 3 1
direct
0.0000 0.0000 0.0000 Cs
0.0000 0.0000 0.5000 Si
0.0000 0.5000 0.0000 Si
0.5000 0.0000 0.0000 Si
0.5000 0.5000 0.5000 H


Entry 9:
PBE GaP2SeO, optimized geometry; total DFT energy (no corrections) = -3.942 eV per atom
1.0
4.8787 0.0000 0.0000
0.0000 4.8787 0.0000
0.0000 0.0000 3.7253
Se P O Ga
1 2 1 1
direct
0.0000 0.0000 0.0000 Se
0.0000 0.5000 0.0000 P
0.5000 0.0000 0.0000 P
0.0000 0.0000 0.5000 O
0.5000 0.5000 0.5000 Ga


Entry 10:
PBE Ce2Pm2In7, optimized geometry; formation enthalpy at 0 K = -11 meV per atom
1.0
6.8275 0.0009 -0.7061
0.0078 7.6899 -0.0007
-1.1301 -0.0061 6.7702
Pm In Ce
2 7 2
direct
0.6946 0.0000 0.3054 Pm
0.3054 0.0000 0.6946 Pm
0.5003 0.6977 0.9998 In
0.4998 0.3055 0.5002 In
0.5002 0.6945 0.4998 In
0.9998 0.3023 0.5003 In
0.0000 0.0000 0.0000 In
0.0002 0.6977 0.4997 In
0.4997 0.3023 0.0002 In
0.8391 0.5000 0.8391 Ce
0.1609 0.5000 0.1609 Ce


Entry 11:
PBE Pm3Dy6Ho2Sc, optimized geometry; formation enthalpy at 0 K = 28 meV per atom
1.0
6.1422 0.0004 -0.0026
-3.0693 5.3203 -0.0026
-1.0166 -1.7603 11.5580
Ho Pm Dy Sc
2 3 6 1
direct
0.3335 0.6665 0.0000 Ho
0.6665 0.3335 0.0000 Ho
0.1666 0.8334 0.5000 Pm
0.8334 0.1666 0.5000 Pm
0.5000 0.5000 0.5000 Pm
0.2498 0.2498 0.7555 Dy
0.0810 0.4119 0.2443 Dy
0.5881 0.9190 0.7557 Dy
0.7502 0.7502 0.2445 Dy
0.9190 0.5881 0.7557 Dy
0.4119 0.0810 0.2443 Dy
0.0000 0.0000 0.0000 Sc


Entry 12:
PBE Pb2SeIO, optimized geometry; total DFT energy (no corrections) = -2.866 eV per atom
1.0
-1.4154 -3.9767 3.9666
3.0177 -3.7794 -2.7123
4.6488 1.4663 3.1289
I Pb O Se
1 2 1 1
direct
0.0000 0.5000 0.0000 I
0.5000 0.0000 0.0000 Pb
0.0000 0.0000 0.5000 Pb
0.5000 0.5000 0.5000 O
0.0000 0.0000 0.0000 Se


Number 1: N(E_F) 0.86 states/eV/f.u.. Number 2: N(E_F) 3.30 states/eV/f.u.. Number 3: N(E_F) 0.00 states/eV/f.u.. Number 4: N(E_F) 17.53 states/eV/f.u.. Number 5: N(E_F) 1.37 states/eV/f.u.. Number 6: N(E_F) 2.48 states/eV/f.u.. Number 7: N(E_F) 1.83 states/eV/f.u.. Number 8: N(E_F) 5.62 states/eV/f.u.. Number 9: N(E_F) 3.47 states/eV/f.u.. Number 10: N(E_F) 11.54 states/eV/f.u.. Number 11: N(E_F) 16.47 states/eV/f.u.. Number 12: N(E_F) 5.15 states/eV/f.u..